Arrangement i

Below is a geometry-optimized PdICl3 structure, with properties calculated at the PBE-GGA level.

Calculated values
SG = No. 13
Density of states at the Fermi level = 15.5 states/eV per cell

abc: 6.760 8.059 12.435
angles: 90.00 95.95 90.00
Fractional coordinates of all 20 atoms:
1 Pd 0.038 0.159 0.116
2 Pd 0.038 0.841 0.616
3 Pd 0.962 0.159 0.384
4 Pd 0.962 0.841 0.884
5 I 0.094 0.492 0.852
6 I 0.094 0.508 0.352
7 I 0.906 0.492 0.648
8 I 0.906 0.508 0.148
9 Cl 0.163 0.155 0.546
10 Cl 0.163 0.845 0.046
11 Cl 0.232 0.094 0.283
12 Cl 0.232 0.906 0.783
13 Cl 0.302 0.267 0.033
14 Cl 0.302 0.733 0.533
15 Cl 0.698 0.267 0.467
16 Cl 0.698 0.733 0.967
17 Cl 0.768 0.094 0.217
18 Cl 0.768 0.906 0.717
19 Cl 0.837 0.155 0.954
20 Cl 0.837 0.845 0.454

***

Arrangement ii

Below is a geometry-optimized PdICl3 structure, with properties calculated at the PBE-GGA level.

Calculated values
SG = No. 221
Density of states at the Fermi level = 4.1 states/eV per cell

abc: 4.948 4.948 4.948
angles: 90.00 90.00 90.00
Fractional coordinates of all 5 atoms:
1 Pd 0.000 0.000 0.000
2 I 0.500 0.500 0.500
3 Cl 0.000 0.000 0.500
4 Cl 0.000 0.500 0.000
5 Cl 0.500 0.000 0.000

***

Q: Which of them is the most stable? A: arrangement i.

***

Arrangement i

Below is a geometry-optimized Pd2I2Cl structure, with properties calculated at the PBE-GGA level.

Calculated values
SG = No. 12
Density of states at the Fermi level = 6.2 states/eV per cell

abc: 6.908 6.908 7.703
angles: 111.38 111.38 49.57
Fractional coordinates of all 10 atoms:
1 Pd 0.009 0.009 0.260
2 Pd 0.327 0.327 0.910
3 Pd 0.673 0.673 0.090
4 Pd 0.991 0.991 0.740
5 I 0.171 0.171 0.092
6 I 0.489 0.489 0.743
7 I 0.511 0.511 0.257
8 I 0.829 0.829 0.908
9 Cl 0.153 0.153 0.598
10 Cl 0.847 0.847 0.402

***

Arrangement ii

Below is a geometry-optimized Pd2I2Cl structure, with properties calculated at the PBE-GGA level.

Calculated values
SG = No. 139
Density of states at the Fermi level = 9.8 states/eV per cell

abc: 8.094 8.094 8.094
angles: 150.63 150.63 42.02
Fractional coordinates of all 5 atoms:
1 Pd 0.250 0.750 0.500
2 Pd 0.750 0.250 0.500
3 I 0.131 0.131 0.000
4 I 0.869 0.869 0.000
5 Cl 0.500 0.500 0.000

***

Q: Which of them is the most stable? A: arrangement i.

***

Arrangement i

Below is a geometry-optimized Pd3ICl structure, with properties calculated at the PBE-GGA level.

Calculated values
SG = No. 221
Density of states at the Fermi level = 4.7 states/eV per cell

abc: 5.064 5.064 5.064
angles: 90.00 90.00 90.00
Fractional coordinates of all 5 atoms:
1 Pd 0.000 0.000 0.500
2 Pd 0.000 0.500 0.000
3 Pd 0.500 0.000 0.000
4 I 0.000 0.000 0.000
5 Cl 0.500 0.500 0.500

***

Arrangement ii

Below is a geometry-optimized Pd3ICl structure, with properties calculated at the PBE-GGA level.

Calculated values
SG = No. 221
Density of states at the Fermi level = 3.7 states/eV per cell

abc: 4.730 4.730 4.730
angles: 90.00 90.00 90.00
Fractional coordinates of all 5 atoms:
1 Pd 0.000 0.000 0.500
2 Pd 0.000 0.500 0.000
3 Pd 0.500 0.000 0.000
4 I 0.500 0.500 0.500
5 Cl 0.000 0.000 0.000

***

Q: Which of them is the most stable? A: arrangement ii.

***

Arrangement i

Below is a geometry-optimized PdSICl2 structure, with properties calculated at the PBE-GGA level.

Calculated values
SG = No. 123
Density of states at the Fermi level = 9.3 states/eV per cell

abc: 5.435 5.435 5.132
angles: 90.00 90.00 90.00
Fractional coordinates of all 5 atoms:
1 Pd 0.000 0.000 0.000
2 S 0.500 0.500 0.000
3 I 0.500 0.500 0.500
4 Cl 0.000 0.500 0.500
5 Cl 0.500 0.000 0.500

***

Arrangement ii

Below is a geometry-optimized PdSICl2 structure, with properties calculated at the PBE-GGA level.

Calculated values
SG = No. 123
Density of states at the Fermi level = 5.9 states/eV per cell

abc: 4.825 4.825 4.922
angles: 90.00 90.00 90.00
Fractional coordinates of all 5 atoms:
1 Pd 0.000 0.000 0.000
2 S 0.000 0.000 0.500
3 I 0.500 0.500 0.500
4 Cl 0.000 0.500 0.000
5 Cl 0.500 0.000 0.000

***

Q: Which of them is the most stable? A: arrangement ii.

***

Arrangement i

Below is a geometry-optimized Sb2PdICl structure, with properties calculated at the PBE-GGA level.

Calculated values
SG = No. 123
Density of states at the Fermi level = 7.3 states/eV per cell

abc: 5.126 5.126 6.392
angles: 90.00 90.00 90.00
Fractional coordinates of all 5 atoms:
1 Sb 0.000 0.500 0.000
2 Sb 0.500 0.000 0.000
3 Pd 0.000 0.000 0.500
4 I 0.500 0.500 0.500
5 Cl 0.500 0.500 0.000

***

Arrangement ii

Below is a geometry-optimized Sb2PdICl structure, with properties calculated at the PBE-GGA level.

Calculated values
SG = No. 123
Density of states at the Fermi level = 3.7 states/eV per cell

abc: 5.245 5.245 5.525
angles: 90.00 90.00 90.00
Fractional coordinates of all 5 atoms:
1 Sb 0.000 0.500 0.000
2 Sb 0.500 0.000 0.000
3 Pd 0.000 0.000 0.000
4 I 0.000 0.000 0.500
5 Cl 0.500 0.500 0.500

***

Q: Which of them is the most stable? A: arrangement ii.

***

Arrangement i

Below is a geometry-optimized Te2PdICl structure, with properties calculated at the PBE-GGA level.

Calculated values
SG = No. 123
Density of states at the Fermi level = 8.7 states/eV per cell

abc: 5.443 5.443 5.520
angles: 90.00 90.00 90.00
Fractional coordinates of all 5 atoms:
1 Te 0.000 0.500 0.000
2 Te 0.500 0.000 0.000
3 Pd 0.000 0.000 0.500
4 I 0.500 0.500 0.500
5 Cl 0.500 0.500 0.000

***

Arrangement ii

Below is a geometry-optimized Te2PdICl structure, with properties calculated at the PBE-GGA level.

Calculated values
SG = No. 123
Density of states at the Fermi level = 7.1 states/eV per cell

abc: 5.302 5.302 5.451
angles: 90.00 90.00 90.00
Fractional coordinates of all 5 atoms:
1 Te 0.000 0.500 0.000
2 Te 0.500 0.000 0.000
3 Pd 0.000 0.000 0.000
4 I 0.000 0.000 0.500
5 Cl 0.500 0.500 0.500

***

Q: Which of them is the most stable? A: arrangement ii.

***

Arrangement i

Below is a geometry-optimized TePdI2Cl structure, with properties calculated at the PBE-GGA level.

Calculated values
SG = No. 123
Density of states at the Fermi level = 7.1 states/eV per cell

abc: 5.630 5.630 5.414
angles: 90.00 90.00 90.00
Fractional coordinates of all 5 atoms:
1 Te 0.000 0.000 0.000
2 Pd 0.500 0.500 0.000
3 I 0.000 0.500 0.500
4 I 0.500 0.000 0.500
5 Cl 0.000 0.000 0.500

***

Arrangement ii

Below is a geometry-optimized TePdI2Cl structure, with properties calculated at the PBE-GGA level.

Calculated values
SG = No. 123
Density of states at the Fermi level = 7.7 states/eV per cell

abc: 5.476 5.476 5.255
angles: 90.00 90.00 90.00
Fractional coordinates of all 5 atoms:
1 Te 0.000 0.000 0.000
2 Pd 0.000 0.000 0.500
3 I 0.000 0.500 0.500
4 I 0.500 0.000 0.500
5 Cl 0.500 0.500 0.000

***

Q: Which of them is the most stable? A: arrangement ii.

***

Arrangement i

Below is a geometry-optimized PrICl structure, with properties calculated at the PBE-GGA level.

Calculated values
SG = No. 11
Density of states at the Fermi level = 0.6 states/eV per cell

abc: 5.223 5.226 8.190
angles: 90.00 101.57 90.00
Fractional coordinates of all 6 atoms:
1 Pr 0.250 0.250 0.000
2 Pr 0.750 0.750 0.000
3 I 0.168 0.750 0.740
4 I 0.832 0.250 0.260
5 Cl 0.307 0.750 0.182
6 Cl 0.693 0.250 0.818

***

Arrangement ii

Below is a geometry-optimized PrICl structure, with properties calculated at the PBE-GGA level.

Calculated values
SG = No. 156
Density of states at the Fermi level = 1.6 states/eV per cell

abc: 4.112 4.112 7.749
angles: 90.00 90.00 120.00
Fractional coordinates of all 3 atoms:
1 Pr 0.000 0.000 0.000
2 I 0.333 0.667 0.726
3 Cl 0.667 0.333 0.217

***

Arrangement iii

Below is a geometry-optimized PrICl structure, with properties calculated at the PBE-GGA level.

Calculated values
SG = No. 2
Density of states at the Fermi level = 3.5 states/eV per cell

abc: 4.136 7.027 8.475
angles: 105.43 103.33 90.01
Fractional coordinates of all 6 atoms:
1 Pr 0.250 0.246 0.499
2 Pr 0.750 0.754 0.501
3 I 0.121 0.823 0.227
4 I 0.879 0.177 0.773
5 Cl 0.348 0.650 0.707
6 Cl 0.652 0.350 0.293

***

Q: Which of them is the most stable? A: arrangement i.

***

Arrangement i

Below is a geometry-optimized PrI2Cl structure, with properties calculated at the PBE-GGA level.

Calculated values
SG = No. 11
Density of states at the Fermi level = 0.0 states/eV per cell

abc: 4.265 9.884 8.036
angles: 90.00 105.26 90.00
Fractional coordinates of all 8 atoms:
1 Pr 0.243 0.250 0.487
2 Pr 0.757 0.750 0.513
3 I 0.149 0.561 0.295
4 I 0.149 0.939 0.295
5 I 0.851 0.061 0.705
6 I 0.851 0.439 0.705
7 Cl 0.371 0.750 0.745
8 Cl 0.629 0.250 0.255

***

Arrangement ii

Below is a geometry-optimized PrI2Cl structure, with properties calculated at the PBE-GGA level.

Calculated values
SG = No. 44
Density of states at the Fermi level = 0.0 states/eV per cell

abc: 8.329 8.329 8.329
angles: 148.09 51.07 141.21
Fractional coordinates of all 4 atoms:
1 Pr 0.000 0.000 0.000
2 I 0.144 0.499 0.645
3 I 0.853 0.499 0.355
4 Cl 0.500 0.500 0.000

***

Q: Which of them is the most stable? A: arrangement i.

***

Arrangement i

Below is a geometry-optimized PtI4Cl structure, with properties calculated at the PBE-GGA level.

Calculated values
SG = No. 15
Density of states at the Fermi level = 7.9 states/eV per cell

abc: 10.493 10.493 6.942
angles: 103.71 103.71 128.73
Fractional coordinates of all 12 atoms:
1 Pt 0.051 0.949 0.750
2 Pt 0.949 0.051 0.250
3 I 0.025 0.350 0.255
4 I 0.150 0.250 0.713
5 I 0.250 0.150 0.213
6 I 0.350 0.025 0.755
7 I 0.650 0.975 0.245
8 I 0.750 0.850 0.787
9 I 0.850 0.750 0.287
10 I 0.975 0.650 0.745
11 Cl 0.348 0.652 0.250
12 Cl 0.652 0.348 0.750

***

Arrangement ii

Below is a geometry-optimized PtI4Cl structure, with properties calculated at the PBE-GGA level.

Calculated values
SG = No. 12
Density of states at the Fermi level = 7.7 states/eV per cell

abc: 10.584 10.584 5.852
angles: 98.44 98.44 50.52
Fractional coordinates of all 12 atoms:
1 Pt 0.068 0.068 0.291
2 Pt 0.932 0.932 0.709
3 I 0.087 0.669 0.428
4 I 0.196 0.804 0.000
5 I 0.215 0.215 0.203
6 I 0.331 0.913 0.572
7 I 0.669 0.087 0.428
8 I 0.785 0.785 0.797
9 I 0.804 0.196 0.000
10 I 0.913 0.331 0.572
11 Cl 0.324 0.324 0.021
12 Cl 0.676 0.676 0.979

***

Q: Which of them is the most stable? A: arrangement i.

***

Arrangement i

Below is a geometry-optimized SbPtI2Cl structure, with properties calculated at the PBE-GGA level.

Calculated values
SG = No. 123
Density of states at the Fermi level = 6.6 states/eV per cell

abc: 5.441 5.441 5.505
angles: 90.00 90.00 90.00
Fractional coordinates of all 5 atoms:
1 Sb 0.000 0.000 0.000
2 Pt 0.500 0.500 0.000
3 I 0.000 0.500 0.500
4 I 0.500 0.000 0.500
5 Cl 0.000 0.000 0.500

***

Arrangement ii

Below is a geometry-optimized SbPtI2Cl structure, with properties calculated at the PBE-GGA level.

Calculated values
SG = No. 123
Density of states at the Fermi level = 7.3 states/eV per cell

abc: 5.518 5.518 5.233
angles: 90.00 90.00 90.00
Fractional coordinates of all 5 atoms:
1 Sb 0.000 0.000 0.000
2 Pt 0.000 0.000 0.500
3 I 0.000 0.500 0.500
4 I 0.500 0.000 0.500
5 Cl 0.500 0.500 0.000

***

Q: Which of them is the most stable? A: arrangement ii.

***

Arrangement i

Below is a geometry-optimized TePtI2Cl structure, with properties calculated at the PBE-GGA level.

Calculated values
SG = No. 123
Density of states at the Fermi level = 7.1 states/eV per cell

abc: 5.544 5.544 5.204
angles: 90.00 90.00 90.00
Fractional coordinates of all 5 atoms:
1 Te 0.000 0.000 0.000
2 Pt 0.000 0.000 0.500
3 I 0.000 0.500 0.500
4 I 0.500 0.000 0.500
5 Cl 0.500 0.500 0.000

***

Arrangement ii

Below is a geometry-optimized TePtI2Cl structure, with properties calculated at the PBE-GGA level.

Calculated values
SG = No. 123
Density of states at the Fermi level = 8.7 states/eV per cell

abc: 5.509 5.509 5.513
angles: 90.00 90.00 90.00
Fractional coordinates of all 5 atoms:
1 Te 0.000 0.000 0.000
2 Pt 0.500 0.500 0.000
3 I 0.000 0.500 0.500
4 I 0.500 0.000 0.500
5 Cl 0.000 0.000 0.500

***

Q: Which of them is the most stable? A: arrangement i.